4
Lattice="3.790 0.000 0.000 0.000 3.790 0.000 0.000 0.000 5.305" Properties=species:S:1:pos:R:3 comment="ScTaAs2 | Alexandria via LeMat-Bulk | PBE-GGA | relaxed" total_energy_ev_per_atom=-7.57 polymorph_energy_ev_per_atom=0.178 crystal_system=tetragonal formation_energy_ev_per_atom=-0.699 magmom_total_mub_per_fu=0.00 n_ef_per_ev_atom=0.58 pbc="T T T"
As 0.000 0.000 4.645
As 1.895 1.895 1.986
Sc 0.000 0.000 1.993
Ta 1.895 1.895 4.638

---

18
Lattice="-0.264 3.513 4.575 1.654 -4.342 3.429 10.452 2.776 -1.528" Properties=species:S:1:pos:R:3 comment="Sc6P2N | Alexandria via LeMat-Bulk | PBE-GGA | relaxed" total_energy_ev_per_atom=-7.34 raw_formation_energy_ev_per_atom=-0.9960 polymorph_energy_ev_per_atom=0.134 crystal_system=tetragonal magmom_total_mub_per_fu=0.00 n_ef_per_ev_atom=1.09 pbc="T T T"
Sc 4.120 0.726 1.924
Sc 4.654 0.407 5.002
Sc 10.203 -0.463 2.346
Sc 9.023 4.371 3.052
Sc 2.819 -2.424 3.425
Sc 1.639 2.410 4.131
Sc 7.188 1.540 1.475
Sc 7.722 1.222 4.553
Sc 0.390 -0.233 2.249
Sc 0.999 -0.596 5.756
Sc 6.460 -1.233 2.917
Sc 5.382 3.180 3.560
P 3.450 0.916 -0.504
P 9.371 1.890 2.734
P 2.471 0.058 3.743
P 7.003 1.860 -1.023
N 0.000 0.000 0.000
N 5.921 0.974 3.239

---

4
Lattice="-2.342 -1.100 3.791 1.731 -2.301 0.401 4.105 2.305 3.205" Properties=species:S:1:pos:R:3 comment="SrIrRh2 | Alexandria via LeMat-Bulk | PBE-GGA | relaxed" total_energy_ev_per_atom=-6.03 polymorph_energy_ev_per_atom=0.417 crystal_system=monoclinic formation_energy_ev_per_atom=0.282 magmom_total_mub_per_fu=0.43 n_ef_per_ev_atom=1.40 pbc="T T T"
Ir 3.206 -0.547 4.600
Rh 5.477 0.040 3.395
Rh 3.277 -0.035 2.014
Sr 0.288 -0.549 2.797

---

20
Lattice="-0.947 3.055 2.280 -9.917 1.286 -5.843 -1.730 -7.387 9.178" Properties=species:S:1:pos:R:3 comment="ScTi3Te6 | Alexandria via LeMat-Bulk | PBE-GGA | relaxed" total_energy_ev_per_atom=-5.62 raw_formation_energy_ev_per_atom=-0.7286 crystal_system=monoclinic magmom_total_mub_per_fu=2.80 n_ef_per_ev_atom=0.55 pbc="T T T"
Sc -2.429 -2.795 7.811
Sc -10.166 -0.251 -2.196
Ti -6.609 -3.483 6.996
Ti -5.985 0.438 -1.381
Ti -8.398 -0.610 2.404
Ti -4.196 -2.435 3.211
Ti -2.134 1.956 1.568
Ti -10.460 -5.002 4.047
Te -6.556 -1.661 4.577
Te -6.038 -1.384 1.038
Te -9.906 2.698 -2.654
Te -2.688 -5.743 8.269
Te -4.554 2.312 0.085
Te -8.040 -5.358 5.530
Te -8.389 1.159 0.037
Te -4.206 -4.205 5.578
Te -2.687 -1.024 5.332
Te -9.907 -2.021 0.283
Te -10.033 -2.252 3.924
Te -2.561 -0.794 1.691

---

4
Lattice="4.877 0.000 0.000 0.000 4.838 0.000 0.000 0.000 4.838" Properties=species:S:1:pos:R:3 comment="In2SnPb | Alexandria via LeMat-Bulk | PBE-GGA | relaxed" total_energy_ev_per_atom=-3.27 polymorph_energy_ev_per_atom=0.000 crystal_system=tetragonal formation_energy_ev_per_atom=0.023 magmom_total_mub_per_fu=0.00 n_ef_per_ev_atom=0.55 pbc="T T T"
Pb 2.438 2.419 2.419
Sn 2.438 0.000 0.000
In 0.000 0.000 2.419
In 0.000 2.419 0.000

---

4
Lattice="5.793 -0.001 0.000 2.434 5.257 0.000 -4.113 -2.628 3.120" Properties=species:S:1:pos:R:3 comment="KMgAs2 | Alexandria via LeMat-Bulk | PBE-GGA | relaxed" total_energy_ev_per_atom=-2.92 crystal_system=tetragonal formation_energy_ev_per_atom=0.075 magmom_total_mub_per_fu=0.00 n_ef_per_ev_atom=0.72 pbc="T T T"
As 0.000 0.000 0.000
As 1.217 2.629 1.560
K 4.113 2.628 0.000
Mg 2.897 0.000 1.560